1.
# K2Nd2MgS4O16 | Alexandria | PBE-GGA | relaxed
# calculated density = 2.81 Mg/m³
# energy relative to the lowest polymorph listed for this composition = 10.3 meV per atom
# energy relative to the elements, uncorrected = -1.913 eV per atom
data_K2Nd2MgS4O16
_cell_length_a 5.256
_cell_length_b 9.245
_cell_length_c 9.732
_cell_angle_alpha 76.02
_cell_angle_beta 89.47
_cell_angle_gamma 89.95
_symmetry_space_group_name_H-M 'P 1'
_symmetry_Int_Tables_number 1
_symmetry_space_group_name_Hall 'P 1'
loop_
_atom_site_label
_atom_site_fract_x
_atom_site_fract_y
_atom_site_fract_z
_atom_site_occupancy
K1 0.000 0.000 0.000 1
K2 0.483 0.800 0.436 1
Nd1 0.477 0.577 0.075 1
Nd2 0.993 0.413 0.634 1
Mg1 0.986 0.115 0.389 1
S1 0.482 0.256 0.906 1
S2 0.487 0.354 0.462 1
S3 0.985 0.727 0.802 1
S4 0.989 0.640 0.245 1
O1 0.007 0.513 0.175 1
O2 0.049 0.645 0.689 1
O3 0.209 0.714 0.898 1
O4 0.224 0.733 0.206 1
O5 0.248 0.264 0.499 1
O6 0.255 0.273 0.812 1
O7 0.444 0.356 0.005 1
O8 0.475 0.474 0.542 1
O9 0.502 0.415 0.308 1
O10 0.504 0.100 0.985 1
O11 0.716 0.305 0.820 1
O12 0.719 0.263 0.510 1
O13 0.758 0.730 0.190 1
O14 0.764 0.648 0.884 1
O15 0.929 0.883 0.740 1
O16 0.969 0.589 0.401 1

2.
# K2Nd2MgS4O16 | Alexandria | PBE-GGA | relaxed
# calculated density = 3.24 Mg/m³
# energy relative to the lowest polymorph listed for this composition = 25.3 meV per atom
# energy relative to the elements, uncorrected = -1.898 eV per atom
data_K2Nd2MgS4O16
_cell_length_a 5.992
_cell_length_b 7.104
_cell_length_c 9.563
_cell_angle_alpha 78.99
_cell_angle_beta 83.72
_cell_angle_gamma 86.97
_symmetry_space_group_name_H-M 'P 1'
_symmetry_Int_Tables_number 1
_symmetry_space_group_name_Hall 'P 1'
loop_
_atom_site_label
_atom_site_fract_x
_atom_site_fract_y
_atom_site_fract_z
_atom_site_occupancy
K1 0.000 0.000 0.000 1
K2 0.494 0.683 0.286 1
Nd1 0.458 0.515 0.927 1
Nd2 0.880 0.157 0.481 1
Mg1 0.390 0.356 0.576 1
S1 0.407 0.149 0.291 1
S2 0.522 0.052 0.824 1
S3 0.980 0.495 0.110 1
S4 0.997 0.614 0.659 1
O1 0.047 0.443 0.583 1
O2 0.072 0.360 0.016 1
O3 0.158 0.640 0.100 1
O4 0.194 0.620 0.742 1
O5 0.268 0.018 0.239 1
O6 0.279 0.203 0.426 1
O7 0.321 0.131 0.750 1
O8 0.460 0.325 0.186 1
O9 0.467 0.862 0.913 1
O10 0.576 0.183 0.920 1
O11 0.622 0.047 0.337 1
O12 0.723 0.031 0.721 1
O13 0.774 0.600 0.057 1
O14 0.787 0.582 0.755 1
O15 0.926 0.398 0.260 1
O16 0.983 0.791 0.550 1

3.
# K2Nd2MgS4O16 | Alexandria | PBE-GGA | relaxed
# calculated density = 2.94 Mg/m³
# energy relative to the lowest polymorph listed for this composition = 0.0 meV per atom
# energy relative to the elements, uncorrected = -1.924 eV per atom
data_K2Nd2MgS4O16
_cell_length_a 5.621
_cell_length_b 7.240
_cell_length_c 11.087
_cell_angle_alpha 87.26
_cell_angle_beta 76.25
_cell_angle_gamma 89.97
_symmetry_space_group_name_H-M 'P 1'
_symmetry_Int_Tables_number 1
_symmetry_space_group_name_Hall 'P 1'
loop_
_atom_site_label
_atom_site_fract_x
_atom_site_fract_y
_atom_site_fract_z
_atom_site_occupancy
K1 0.000 0.000 0.000 1
K2 0.242 0.569 0.348 1
Nd1 0.074 0.501 0.786 1
Nd2 0.764 0.036 0.434 1
Mg1 0.415 0.378 0.995 1
S1 0.145 0.005 0.670 1
S2 0.292 0.066 0.249 1
S3 0.673 0.526 0.537 1
S4 0.822 0.496 0.072 1
O1 0.083 0.171 0.744 1
O2 0.110 0.908 0.267 1
O3 0.121 0.839 0.757 1
O4 0.169 0.206 0.337 1
O5 0.348 0.135 0.118 1
O6 0.397 0.020 0.591 1
O7 0.421 0.531 0.616 1
O8 0.524 0.003 0.281 1
O9 0.559 0.526 0.131 1
O10 0.695 0.362 0.458 1
O11 0.718 0.696 0.452 1
O12 0.821 0.338 0.985 1
O13 0.861 0.515 0.611 1
O14 0.922 0.656 0.983 1
O15 0.970 0.985 0.589 1
O16 0.971 0.455 0.161 1

4.
# K2Nd2MgS4O16 | Alexandria | PBE-GGA | relaxed
# calculated density = 3.29 Mg/m³
# energy relative to the lowest polymorph listed for this composition = 26.8 meV per atom
# energy relative to the elements, uncorrected = -1.897 eV per atom
data_K2Nd2MgS4O16
_cell_length_a 5.884
_cell_length_b 6.953
_cell_length_c 10.200
_cell_angle_alpha 109.74
_cell_angle_beta 93.50
_cell_angle_gamma 90.50
_symmetry_space_group_name_H-M 'P 1'
_symmetry_Int_Tables_number 1
_symmetry_space_group_name_Hall 'P 1'
loop_
_atom_site_label
_atom_site_fract_x
_atom_site_fract_y
_atom_site_fract_z
_atom_site_occupancy
K1 0.000 0.000 0.000 1
K2 0.413 0.370 0.556 1
Nd1 0.470 0.531 0.008 1
Nd2 0.937 0.824 0.568 1
Mg1 0.903 0.145 0.335 1
S1 0.462 0.939 0.831 1
S2 0.470 0.836 0.402 1
S3 0.934 0.532 0.171 1
S4 0.940 0.415 0.744 1
O1 0.132 0.519 0.845 1
O2 0.142 0.428 0.108 1
O3 0.269 0.938 0.473 1
O4 0.271 0.833 0.729 1
O5 0.412 0.159 0.893 1
O6 0.430 0.770 0.250 1
O7 0.481 0.849 0.946 1
O8 0.544 0.668 0.454 1
O9 0.667 0.995 0.449 1
O10 0.682 0.913 0.763 1
O11 0.719 0.438 0.810 1
O12 0.739 0.376 0.128 1
O13 0.866 0.695 0.112 1
O14 0.920 0.507 0.630 1
O15 0.973 0.616 0.324 1
O16 0.990 0.195 0.680 1

5.
# K2Nd2MgS4O16 | Alexandria | PBE-GGA | relaxed
# calculated density = 3.34 Mg/m³
# energy relative to the lowest polymorph listed for this composition = 29.6 meV per atom
# energy relative to the elements, uncorrected = -1.894 eV per atom
data_K2Nd2MgS4O16
_cell_length_a 5.559
_cell_length_b 7.099
_cell_length_c 9.933
_cell_angle_alpha 99.92
_cell_angle_beta 91.78
_cell_angle_gamma 93.20
_symmetry_space_group_name_H-M 'P 1'
_symmetry_Int_Tables_number 1
_symmetry_space_group_name_Hall 'P 1'
loop_
_atom_site_label
_atom_site_fract_x
_atom_site_fract_y
_atom_site_fract_z
_atom_site_occupancy
K1 0.000 0.000 0.000 1
K2 0.438 0.625 0.714 1
Nd1 0.528 0.499 0.095 1
Nd2 0.900 0.094 0.553 1
Mg1 0.439 0.812 0.434 1
S1 0.031 0.564 0.380 1
S2 0.470 0.141 0.752 1
S3 0.521 0.043 0.234 1
S4 0.978 0.505 0.911 1
O1 0.033 0.416 0.467 1
O2 0.063 0.760 0.471 1
O3 0.206 0.626 0.960 1
O4 0.240 0.019 0.719 1
O5 0.254 0.559 0.295 1
O6 0.307 0.010 0.315 1
O7 0.440 0.278 0.880 1
O8 0.465 0.179 0.140 1
O9 0.524 0.246 0.636 1
O10 0.576 0.856 0.149 1
O11 0.679 0.022 0.768 1
O12 0.737 0.119 0.323 1
O13 0.773 0.636 0.924 1
O14 0.812 0.549 0.290 1
O15 0.929 0.370 0.009 1
O16 0.996 0.410 0.769 1

6.
# KNdMgSe3 | Alexandria | PBE-GGA | relaxed
# calculated density = 3.77 Mg/m³
# energy relative to the elements, uncorrected = -1.543 eV per atom
data_KNdMgSe3
_cell_length_a 9.187
_cell_length_b 4.351
_cell_length_c 10.182
_cell_angle_alpha 90.00
_cell_angle_beta 105.56
_cell_angle_gamma 90.00
_symmetry_space_group_name_H-M 'P 1 21/m 1'
_symmetry_Int_Tables_number 11
_symmetry_space_group_name_Hall '-P 2yb'
loop_
_atom_site_label
_atom_site_fract_x
_atom_site_fract_y
_atom_site_fract_z
_atom_site_occupancy
K1 0.197 0.250 0.216 1
Nd1 0.332 0.750 0.860 1
Mg1 0.085 0.250 0.605 1
Se1 0.109 0.250 0.860 1
Se2 0.201 0.750 0.536 1
Se3 0.453 0.750 0.156 1

7.
# KNdMgTe3 | Alexandria | PBE-GGA | relaxed
# calculated density = 4.23 Mg/m³
# energy relative to the elements, uncorrected = -1.212 eV per atom
data_KNdMgTe3
_cell_length_a 9.769
_cell_length_b 4.595
_cell_length_c 10.765
_cell_angle_alpha 90.00
_cell_angle_beta 106.44
_cell_angle_gamma 90.00
_symmetry_space_group_name_H-M 'P 1 21/m 1'
_symmetry_Int_Tables_number 11
_symmetry_space_group_name_Hall '-P 2yb'
loop_
_atom_site_label
_atom_site_fract_x
_atom_site_fract_y
_atom_site_fract_z
_atom_site_occupancy
K1 0.205 0.250 0.229 1
Nd1 0.328 0.750 0.863 1
Mg1 0.084 0.250 0.607 1
Te1 0.101 0.250 0.867 1
Te2 0.213 0.750 0.534 1
Te3 0.458 0.750 0.165 1

8.
# KMg2Ni | Alexandria | PBE-GGA | relaxed
# calculated density = 2.19 Mg/m³
# energy relative to the lowest polymorph listed for this composition = 94.0 meV per atom
# energy of formation from the pure elements = 0.93 eV per formula unit
data_KMg2Ni
_cell_length_a 9.318
_cell_length_b 3.151
_cell_length_c 7.935
_cell_angle_alpha 90.00
_cell_angle_beta 107.79
_cell_angle_gamma 90.00
_symmetry_space_group_name_H-M 'C 1 m 1'
_symmetry_Int_Tables_number 8
_symmetry_space_group_name_Hall 'C -2y'
loop_
_atom_site_label
_atom_site_fract_x
_atom_site_fract_y
_atom_site_fract_z
_atom_site_occupancy
K1 0.000 0.000 0.000 1
Mg1 0.163 0.000 0.627 1
Mg2 0.373 0.000 0.382 1
Ni1 0.149 0.500 0.373 1